# 1
VASP calculation (PBE) on a relaxed TbSm2In3 crystal. Values from VASP.

Computed properties:
ΔH_f (0 K): -0.42 eV per atom
M_tot: 0.00 μB per formula unit
N(E_F): 0.68 states/eV per atom

Geometry as Quantum ESPRESSO input:
```
&SYSTEM
  ibrav = 0, nat = 12, ntyp = 3
/
ATOMIC_SPECIES
Tb 158.93 Tb.upf
Sm 150.36 Sm.upf
In 114.82 In.upf
CELL_PARAMETERS angstrom
-4.4673 3.0484 3.6341
-4.6843 -2.0422 -4.0452
2.7253 -7.4478 3.7563
ATOMIC_POSITIONS angstrom
Tb -7.3801 1.1071 0.1118
Tb -1.7714 -0.1009 -0.5229
Sm -4.3214 -2.0611 0.9200
Sm -3.0026 -0.3417 3.7751
Sm -3.4236 -6.0998 -0.4298
Sm -2.1048 -4.3804 2.4252
In -4.0055 1.4237 1.2945
In -5.1460 -0.4174 -1.7056
In -0.5905 -1.6430 2.0200
In -4.5395 -3.0637 4.1987
In -1.8867 -3.3778 -0.8534
In -5.8357 -4.7985 1.3252
```

***

# 2
VASP calculation (PBE) on a relaxed Dy2PaTc crystal. Values from VASP.

Computed properties:
ΔH_f (0 K): -0.17 eV per atom
M_tot: 0.00 μB per formula unit
N(E_F): 1.22 states/eV per atom

Geometry as Quantum ESPRESSO input:
```
&SYSTEM
  ibrav = 0, nat = 16, ntyp = 3
/
ATOMIC_SPECIES
Dy 162.50 Dy.upf
Pa 231.04 Pa.upf
Tc 98.00 Tc.upf
CELL_PARAMETERS angstrom
-3.8910 4.9138 -0.2926
-5.3739 -4.3483 -1.5616
-1.9414 -0.9775 9.4026
ATOMIC_POSITIONS angstrom
Dy -4.4185 -2.1591 -0.5113
Dy -3.0718 0.4261 3.7371
Dy -6.0623 2.1125 4.5459
Dy -8.8600 -1.2034 7.3250
Dy -6.7878 1.7472 8.0596
Dy -8.1345 -0.8381 3.8113
Dy -5.1440 -2.5244 3.0025
Dy -2.3463 0.7914 0.2233
Pa -6.0162 0.6051 1.2970
Pa -4.0261 3.6593 2.0254
Pa -5.1901 -1.0170 6.2514
Pa -7.1802 -4.0712 5.5230
Tc -2.4387 -1.8167 1.7838
Tc -7.0633 -1.5439 0.8573
Tc -8.7676 1.4048 5.7645
Tc -4.1430 1.1320 6.6910
```

***

# 3
VASP calculation (PBE) on a relaxed BaLiF2 crystal. Values from VASP.

Computed properties:
M_tot: 0.90 μB per formula unit
N(E_F): 0.27 states/eV per atom
energy relative to the elements, uncorrected: -2547 meV per atom

Geometry as Quantum ESPRESSO input:
```
&SYSTEM
  ibrav = 0, nat = 8, ntyp = 3
/
ATOMIC_SPECIES
Li 6.94 Li.upf
Ba 137.33 Ba.upf
F 19.00 F.upf
CELL_PARAMETERS angstrom
-3.4461 3.4417 1.8655
-3.4658 -1.5266 -3.5858
-5.4132 -2.9229 2.6836
ATOMIC_POSITIONS angstrom
Li -3.4560 0.9575 -0.8602
Li -6.1675 -1.7460 -0.8812
Ba 0.0000 0.0000 0.0000
Ba -6.1576 0.7382 1.8444
F -3.4858 0.7756 1.1425
F -4.4047 -0.8007 -1.0910
F -7.1090 -1.6754 0.8946
F -9.6506 -0.3151 0.9804
```